Entry 1:
# Pu3Hg3Au2

Pu3Hg3Au2 after structural relaxation (PBE, Alexandria via LeMat-Bulk).

a b c (Å): 7.9476 7.9476 3.7252
angles (deg): 90.00 90.00 120.00
Space group P-62m (No. 189)
One atom of each set of equivalent atoms:
Pu 0.0000 0.5938 0.0000 x3
Hg 0.0000 0.2296 0.5000 x3
Au 0.3333 0.6667 0.5000 x2

Its energy above the most stable polymorph in this dataset is 0.000 eV/atom. The density of states at the Fermi level comes out at 36.2 states/eV per cell. For the total magnetic moment, the calculation gives 2.209 μB/atom. The calculation puts the formation energy from the elements at -264.1 meV per atom.



Entry 2:
# Pu2HgAu5

Pu2HgAu5 after structural relaxation (PBE, Alexandria via LeMat-Bulk).

a b c (Å): 6.6755 6.6755 8.0442
angles (deg): 90.00 90.00 90.00
Space group I4mm (No. 107)
One atom of each set of equivalent atoms:
Pu 0.0000 0.5000 0.0000 x4
Hg 0.0000 0.0000 0.4206 x2
Au 0.0000 0.0000 0.0423 x2
Au 0.2151 0.2151 0.7476 x8

The density of states at the Fermi level comes out at 65.6 states/eV per cell. For the total magnetic moment, the calculation gives 1.407 μB/atom. The calculation puts the formation energy from the elements at -212.0 meV per atom.



Entry 3:
# Pu2HgAu4

Pu2HgAu4 after structural relaxation (PBE, Alexandria via LeMat-Bulk).

a b c (Å): 6.3647 9.3947 11.0670
angles (deg): 90.00 90.00 90.00
Space group Fmmm (No. 69)
One atom of each set of equivalent atoms:
Pu 0.0000 0.0000 0.1455 x8
Hg 0.0000 0.0000 0.5000 x4
Au 0.2500 0.2500 0.0000 x8
Au 0.2500 0.2500 0.2500 x8

Its energy above the most stable polymorph in this dataset is 0.061 eV/atom. The density of states at the Fermi level comes out at 96.7 states/eV per cell. For the total magnetic moment, the calculation gives 1.704 μB/atom. The calculation puts the formation energy from the elements at -172.2 meV per atom.



Entry 4:
# Pu3Hg2Au4

Pu3Hg2Au4 after structural relaxation (PBE, Alexandria via LeMat-Bulk).

a b c (Å): 10.6543 4.9850 9.1750
angles (deg): 90.00 124.81 90.00
Space group C2/m (No. 12)
One atom of each set of equivalent atoms:
Pu 0.0000 0.0000 0.0000 x2
Pu 0.1654 0.5000 0.6697 x4
Hg 0.1141 0.5000 0.2802 x4
Au 0.0521 0.0000 0.3869 x4
Au 0.2256 0.5000 0.0573 x4

The density of states at the Fermi level comes out at 53.8 states/eV per cell. For the total magnetic moment, the calculation gives 1.956 μB/atom. The calculation puts the formation energy from the elements at -390.6 meV per atom.



Entry 5:
# Pu4HgAu3

Pu4HgAu3 after structural relaxation (PBE, Alexandria via LeMat-Bulk).

a b c (Å): 3.1711 5.5374 11.0361
angles (deg): 90.00 90.00 90.00
Space group Pmmm (No. 47)
One atom of each set of equivalent atoms:
Pu 0.0000 0.0000 0.0000 x1
Pu 0.0000 0.0000 0.5000 x1
Pu 0.0000 0.5000 0.2421 x2
Hg 0.5000 0.5000 0.5000 x1
Au 0.5000 0.0000 0.2522 x2
Au 0.5000 0.5000 0.0000 x1

The density of states at the Fermi level comes out at 35.0 states/eV per cell. For the total magnetic moment, the calculation gives 1.473 μB/atom. The calculation puts the formation energy from the elements at -322.2 meV per atom.



Entry 6:
# Pu2HgAu4

Pu2HgAu4 after structural relaxation (PBE, Alexandria via LeMat-Bulk).

a b c (Å): 4.1027 4.1027 19.4178
angles (deg): 90.00 90.00 90.00
Space group I4/mmm (No. 139)
One atom of each set of equivalent atoms:
Pu 0.0000 0.0000 0.1010 x4
Hg 0.0000 0.0000 0.5000 x2
Au 0.0000 0.0000 0.3537 x4
Au 0.0000 0.5000 0.2500 x4

Its energy above the most stable polymorph in this dataset is 0.000 eV/atom. The density of states at the Fermi level comes out at 49.0 states/eV per cell. For the total magnetic moment, the calculation gives 1.666 μB/atom. The calculation puts the formation energy from the elements at -233.3 meV per atom.



Entry 7:
# Pu3HgAu3

Pu3HgAu3 after structural relaxation (PBE, Alexandria via LeMat-Bulk).

a b c (Å): 3.1495 4.9343 20.7421
angles (deg): 90.00 90.00 90.00
Space group Imm2 (No. 44)
One atom of each set of equivalent atoms:
Pu 0.0000 0.0000 0.0000 x2
Pu 0.0000 0.0000 0.4029 x2
Pu 0.0000 0.5000 0.1925 x2
Hg 0.0000 0.5000 0.7676 x2
Au 0.0000 0.0000 0.5533 x2
Au 0.0000 0.0000 0.8467 x2
Au 0.0000 0.5000 0.6295 x2

The density of states at the Fermi level comes out at 51.3 states/eV per cell. For the total magnetic moment, the calculation gives 0.846 μB/atom. The calculation puts the formation energy from the elements at -324.1 meV per atom.



Entry 8:
# Pu4HgRhAu2

Pu4HgRhAu2 after structural relaxation (PBE, Alexandria via LeMat-Bulk).

a b c (Å): 5.1768 5.1768 24.5921
angles (deg): 90.00 90.00 120.00
Space group R-3m (No. 166, hexagonal axes)
One atom of each set of equivalent atoms:
Pu 0.0000 0.0000 0.1119 x6
Pu 0.0000 0.0000 0.3637 x6
Hg 0.0000 0.0000 0.5000 x3
Rh 0.0000 0.0000 0.0000 x3
Au 0.0000 0.0000 0.2390 x6

The density of states at the Fermi level comes out at 105.3 states/eV per cell. For the total magnetic moment, the calculation gives 2.844 μB/atom. The calculation puts the formation energy from the elements at -321.3 meV per atom.



Entry 9:
# PuHgRhAu

PuHgRhAu after structural relaxation (PBE, Alexandria via LeMat-Bulk).

a b c (Å): 6.8864 6.8864 6.8864
angles (deg): 90.00 90.00 90.00
Space group F-43m (No. 216)
One atom of each set of equivalent atoms:
Pu 0.0000 0.0000 0.0000 x4
Hg 0.0000 0.0000 0.5000 x4
Rh 0.2500 0.2500 0.7500 x4
Au 0.2500 0.2500 0.2500 x4

The density of states at the Fermi level comes out at 40.0 states/eV per cell. For the total magnetic moment, the calculation gives 1.198 μB/atom. The calculation puts the formation energy from the elements at -205.0 meV per atom.



Entry 10:
# PuHgSbAu

PuHgSbAu after structural relaxation (PBE, Alexandria via LeMat-Bulk).

a b c (Å): 7.2791 7.2791 7.2791
angles (deg): 90.00 90.00 90.00
Space group F-43m (No. 216)
One atom of each set of equivalent atoms:
Pu 0.0000 0.0000 0.0000 x4
Hg 0.0000 0.0000 0.5000 x4
Sb 0.2500 0.2500 0.2500 x4
Au 0.2500 0.2500 0.7500 x4

The density of states at the Fermi level comes out at 50.8 states/eV per cell. Its uncorrected formation energy is -0.24 eV/atom. For the total magnetic moment, the calculation gives 1.415 μB/atom.



Entry 11:
# TbPuHgAu

TbPuHgAu after structural relaxation (PBE, Alexandria via LeMat-Bulk).

a b c (Å): 7.3860 7.3860 7.3860
angles (deg): 90.00 90.00 90.00
Space group F-43m (No. 216)
One atom of each set of equivalent atoms:
Tb 0.0000 0.0000 0.0000 x4
Pu 0.0000 0.0000 0.5000 x4
Hg 0.2500 0.2500 0.7500 x4
Au 0.2500 0.2500 0.2500 x4

Its energy above the most stable polymorph in this dataset is 0.043 eV/atom. The density of states at the Fermi level comes out at 42.2 states/eV per cell. For the total magnetic moment, the calculation gives 1.467 μB/atom. The calculation puts the formation energy from the elements at -415.8 meV per atom.



Entry 12:
# TbPuHgAu

TbPuHgAu after structural relaxation (PBE, Alexandria via LeMat-Bulk).

a b c (Å): 3.6272 3.6272 7.6231
angles (deg): 90.00 90.00 90.00
Space group P4mm (No. 99)
One atom of each set of equivalent atoms:
Tb 0.0000 0.0000 0.0000 x1
Pu 0.0000 0.0000 0.5297 x1
Hg 0.5000 0.5000 0.2569 x1
Au 0.5000 0.5000 0.7848 x1

Its energy above the most stable polymorph in this dataset is 0.000 eV/atom. The density of states at the Fermi level comes out at 8.9 states/eV per cell. For the total magnetic moment, the calculation gives 1.476 μB/atom. The calculation puts the formation energy from the elements at -459.2 meV per atom.



Entry 13:
# PuThHgAu

PuThHgAu after structural relaxation (PBE, Alexandria via LeMat-Bulk).

a b c (Å): 3.7356 3.7356 7.5072
angles (deg): 90.00 90.00 90.00
Space group P4mm (No. 99)
One atom of each set of equivalent atoms:
Pu 0.0000 0.0000 0.0000 x1
Th 0.0000 0.0000 0.4706 x1
Hg 0.5000 0.5000 0.7424 x1
Au 0.5000 0.5000 0.2351 x1

Its energy above the most stable polymorph in this dataset is 0.000 eV/atom. The density of states at the Fermi level comes out at 10.2 states/eV per cell. For the total magnetic moment, the calculation gives 1.472 μB/atom. The calculation puts the formation energy from the elements at -314.7 meV per atom.



Entry 14:
# PuThHgAu

PuThHgAu after structural relaxation (PBE, Alexandria via LeMat-Bulk).

a b c (Å): 7.4786 7.4786 7.4786
angles (deg): 90.00 90.00 90.00
Space group F-43m (No. 216)
One atom of each set of equivalent atoms:
Pu 0.0000 0.0000 0.0000 x4
Th 0.0000 0.0000 0.5000 x4
Hg 0.2500 0.2500 0.2500 x4
Au 0.2500 0.2500 0.7500 x4

Its energy above the most stable polymorph in this dataset is 0.026 eV/atom. The density of states at the Fermi level comes out at 49.7 states/eV per cell. For the total magnetic moment, the calculation gives 1.559 μB/atom. The calculation puts the formation energy from the elements at -288.5 meV per atom.



Entry 15:
# Pu2ThHg2Au2

Pu2ThHg2Au2 after structural relaxation (PBE, Alexandria via LeMat-Bulk).

a b c (Å): 4.9525 4.9525 23.8851
angles (deg): 90.00 90.00 120.00
Space group R-3m (No. 166, hexagonal axes)
One atom of each set of equivalent atoms:
Pu 0.0000 0.0000 0.1343 x6
Th 0.0000 0.0000 0.0000 x3
Hg 0.0000 0.0000 0.2682 x6
Au 0.0000 0.0000 0.4096 x6

The density of states at the Fermi level comes out at 47.0 states/eV per cell. For the total magnetic moment, the calculation gives 1.725 μB/atom. The calculation puts the formation energy from the elements at -257.7 meV per atom.



Entry 16:
# Pu3Tl3HgAu2

Pu3Tl3HgAu2 after structural relaxation (PBE, Alexandria via LeMat-Bulk).

a b c (Å): 8.7668 8.7668 3.3449
angles (deg): 90.00 90.00 120.00
Space group P-62m (No. 189)
One atom of each set of equivalent atoms:
Pu 0.0000 0.3764 0.0000 x3
Tl 0.0000 0.6988 0.5000 x3
Hg 0.0000 0.0000 0.0000 x1
Au 0.3333 0.6667 0.5000 x2

The density of states at the Fermi level comes out at 28.9 states/eV per cell. For the total magnetic moment, the calculation gives 1.967 μB/atom. The calculation puts the formation energy from the elements at -175.0 meV per atom.



Entry 17:
# PuTl2Hg7Au2

PuTl2Hg7Au2 after structural relaxation (PBE, Alexandria via LeMat-Bulk).

a b c (Å): 6.3194 6.3195 16.1719
angles (deg): 90.00 100.76 90.00
Space group C2/m (No. 12)
One atom of each set of equivalent atoms:
Pu 0.0000 0.0000 0.0000 x2
Tl 0.1571 0.0000 0.3348 x4
Hg 0.0000 0.5000 0.0000 x2
Hg 0.1756 0.2499 0.8426 x8
Hg 0.2306 0.5000 0.4665 x4
Au 0.1340 0.5000 0.2874 x4

The density of states at the Fermi level comes out at 34.9 states/eV per cell. For the total magnetic moment, the calculation gives 0.485 μB/atom. The calculation puts the formation energy from the elements at -35.1 meV per atom.



Entry 18:
# TmPuHgAu

TmPuHgAu after structural relaxation (PBE, Alexandria via LeMat-Bulk).

a b c (Å): 3.5280 3.5280 7.8236
angles (deg): 90.00 90.00 90.00
Space group P4mm (No. 99)
One atom of each set of equivalent atoms:
Tm 0.0000 0.0000 0.0000 x1
Pu 0.0000 0.0000 0.5314 x1
Hg 0.5000 0.5000 0.2532 x1
Au 0.5000 0.5000 0.7943 x1

Its energy above the most stable polymorph in this dataset is 0.000 eV/atom. The density of states at the Fermi level comes out at 8.4 states/eV per cell. For the total magnetic moment, the calculation gives 1.479 μB/atom. The calculation puts the formation energy from the elements at -472.5 meV per atom.



Entry 19:
# TmPuHgAu

TmPuHgAu after structural relaxation (PBE, Alexandria via LeMat-Bulk).

a b c (Å): 7.3306 7.3306 7.3306
angles (deg): 90.00 90.00 90.00
Space group F-43m (No. 216)
One atom of each set of equivalent atoms:
Tm 0.0000 0.0000 0.0000 x4
Pu 0.0000 0.0000 0.5000 x4
Hg 0.2500 0.2500 0.2500 x4
Au 0.2500 0.2500 0.7500 x4

Its energy above the most stable polymorph in this dataset is 0.056 eV/atom. The density of states at the Fermi level comes out at 41.0 states/eV per cell. For the total magnetic moment, the calculation gives 1.466 μB/atom. The calculation puts the formation energy from the elements at -416.7 meV per atom.



Entry 20:
# Rb2HgAu

Rb2HgAu after structural relaxation (PBE, Alexandria via LeMat-Bulk).

a b c (Å): 4.7698 4.7698 34.9688
angles (deg): 90.00 90.00 120.00
Space group R-3m (No. 166, hexagonal axes)
One atom of each set of equivalent atoms:
Rb 0.0000 0.0000 0.1078 x6
Hg 0.0000 0.0000 0.0000 x3
Au 0.0000 0.0000 0.5000 x3

The density of states at the Fermi level comes out at 10.7 states/eV per cell. For the total magnetic moment, the calculation gives 0.000 μB/atom. The calculation puts the formation energy from the elements at -98.1 meV per atom.